(1)
Entry from Alexandria: a geometry-optimized CuGeTe3 structure (GGA-PBE).

```
CuGeTe3
1.0
5.1514 0.0000 0.0000
0.0000 5.1514 0.0000
0.0000 0.0000 5.1514
Cu Ge Te
1 1 3
Direct
0.0000 0.0000 0.0000 Cu
0.5000 0.5000 0.5000 Ge
0.0000 0.0000 0.5000 Te
0.0000 0.5000 0.0000 Te
0.5000 0.0000 0.0000 Te
```

Calculated values
Formation energy without anion corrections in eV per formula unit: 2.21



(2)
Entry from Alexandria: a geometry-optimized Re2HgW structure (GGA-PBE).

```
Re2HgW
1.0
2.8334 0.0000 0.0000
-1.4167 2.4538 0.0000
0.0000 0.0000 28.6750
Re Hg W
6 3 3
Direct
0.0000 0.0000 0.0000 Re
0.0000 0.0000 0.2596 Re
0.3333 0.6667 0.6667 Re
0.3333 0.6667 0.9263 Re
0.6667 0.3333 0.3333 Re
0.6667 0.3333 0.5929 Re
0.0000 0.0000 0.5037 Hg
0.3333 0.6667 0.1704 Hg
0.6667 0.3333 0.8371 Hg
0.0000 0.0000 0.7475 W
0.3333 0.6667 0.4142 W
0.6667 0.3333 0.0808 W
```

Calculated values
E_form in meV per atom: 425



(3)
Entry from Alexandria: a geometry-optimized Np2Se3Cl structure (GGA-PBE).

```
Np2Se3Cl
1.0
3.8772 2.2385 6.1162
-3.8772 2.2385 6.1162
0.0000 -4.4770 6.1162
Np Se Cl
4 6 2
Direct
0.1432 0.1432 0.1432 Np
0.3568 0.3568 0.3568 Np
0.6432 0.6432 0.6432 Np
0.8568 0.8568 0.8568 Np
0.0253 0.7500 0.4747 Se
0.2500 0.5253 0.9747 Se
0.4747 0.0253 0.7500 Se
0.5253 0.9747 0.2500 Se
0.7500 0.4747 0.0253 Se
0.9747 0.2500 0.5253 Se
0.0000 0.0000 0.0000 Cl
0.5000 0.5000 0.5000 Cl
```

Calculated values
Formation energy without anion corrections in eV per formula unit: -6.54



(4)
Entry from Alexandria: a geometry-optimized BeAlSb structure (GGA-PBE).

```
BeAlSb
1.0
12.2856 0.0000 0.0000
0.0000 3.1752 0.0000
-0.6952 0.0000 2.8708
Be Al Sb
2 2 2
Direct
0.0000 0.0000 0.0000 Be
0.5000 0.5000 0.0000 Be
0.3918 0.0000 0.3925 Al
0.8918 0.5000 0.3925 Al
0.1767 0.5000 0.1777 Sb
0.6767 0.0000 0.1777 Sb
```

Calculated values
Formation energy without anion corrections in eV per formula unit: 1.00



(5)
Entry from Alexandria: a geometry-optimized InHg3N structure (GGA-PBE).

```
InHg3N
1.0
4.8867 0.0000 0.0000
0.0000 4.8867 0.0000
0.0000 0.0000 4.8867
In Hg N
1 3 1
Direct
0.0000 0.0000 0.0000 In
0.0000 0.5000 0.5000 Hg
0.5000 0.0000 0.5000 Hg
0.5000 0.5000 0.0000 Hg
0.5000 0.5000 0.5000 N
```

Calculated values
Formation energy without anion corrections in eV per formula unit: 3.77



(6)
Entry from Alexandria: a geometry-optimized LaGdFeCu structure (GGA-PBE).

```
LaGdFeCu
1.0
7.0493 0.0000 0.0000
0.0000 7.0493 0.0000
0.0000 0.0000 7.0493
La Gd Fe Cu
4 4 4 4
Direct
0.0000 0.0000 0.0000 La
0.0000 0.5000 0.5000 La
0.5000 0.0000 0.5000 La
0.5000 0.5000 0.0000 La
0.0000 0.0000 0.5000 Gd
0.0000 0.5000 0.0000 Gd
0.5000 0.0000 0.0000 Gd
0.5000 0.5000 0.5000 Gd
0.2500 0.2500 0.7500 Fe
0.2500 0.7500 0.2500 Fe
0.7500 0.2500 0.2500 Fe
0.7500 0.7500 0.7500 Fe
0.2500 0.2500 0.2500 Cu
0.2500 0.7500 0.7500 Cu
0.7500 0.2500 0.7500 Cu
0.7500 0.7500 0.2500 Cu
```

Calculated values
E_form in meV per atom: 39